(1)
Here is Sr2LiSn2As4 after structural relaxation from Alexandria. Energies are from PBE.

a b c (Å): 4.848 8.040 6.644
angles (deg): 104.86 90.00 107.55
Sites, in units of the cell vectors:
As: 0.495 0.991 0.697
As: 0.215 0.429 0.208
As: 0.785 0.571 0.792
As: 0.505 0.009 0.303
Sn: 0.348 0.696 0.970
Sn: 0.652 0.304 0.030
Sr: 0.132 0.264 0.590
Sr: 0.868 0.736 0.410
Li: 0.000 0.000 0.000

## Properties
Volume ... 26.43 Å³ per atom
Fermi-level density of states ... 1.39 states/eV/cell
ΔE_f ... -573 meV per atom


(2)
Here is Li2TaSnAs after structural relaxation from Alexandria. Energies are from PBE.

a b c (Å): 4.606 5.311 4.606
angles (deg): 90.00 90.00 90.00
Sites, in units of the cell vectors:
As: 0.500 0.500 0.500
Li: 0.500 0.000 0.000
Li: 0.000 0.000 0.500
Ta: 0.000 0.500 0.000
Sn: 0.000 0.000 0.000

## Properties
Volume ... 22.54 Å³ per atom
Fermi-level density of states ... 5.37 states/eV/cell
ΔE_f ... 746 meV per atom


(3)
Here is Li2VSnAs after structural relaxation from Alexandria. Energies are from PBE.

a b c (Å): 4.960 4.707 4.960
angles (deg): 90.00 90.00 90.00
Last column: magnetic moment on the atom in μB.
Sites, in units of the cell vectors:
V: 0.000 0.000 0.000  2.61
Li: 0.000 0.000 0.500  0.07
Li: 0.500 0.000 0.000  0.11
As: 0.000 0.500 0.000  -0.10
Sn: 0.500 0.500 0.500  -0.11

## Properties
Volume ... 23.16 Å³ per atom
Fermi-level density of states ... 2.16 states/eV/cell
ΔE_f ... 379 meV per atom


(4)
Here is Li2SnAsW after structural relaxation from Alexandria. Energies are from PBE.

a b c (Å): 5.027 4.786 5.027
angles (deg): 90.00 90.00 90.00
Last column: magnetic moment on the atom in μB.
Sites, in units of the cell vectors:
Li: 0.500 0.000 0.000  0.09
Li: 0.000 0.000 0.500  0.05
Sn: 0.500 0.500 0.500  -0.07
As: 0.000 0.500 0.000  -0.05
W: 0.000 0.000 0.000  1.56

## Properties
Volume ... 24.19 Å³ per atom
Fermi-level density of states ... 2.60 states/eV/cell
ΔE_f ... 793 meV per atom


(5)
Here is Sr2LiAs2 after structural relaxation from Alexandria. Energies are from PBE.

a b c (Å): 8.959 8.959 3.594
angles (deg): 90.00 90.00 90.00
Sites, in units of the cell vectors:
Sr: 0.365 0.865 0.000
Sr: 0.865 0.635 0.000
Sr: 0.635 0.135 0.000
Sr: 0.135 0.365 0.000
Li: 0.500 0.500 0.000
Li: 0.000 0.000 0.000
As: 0.833 0.333 0.500
As: 0.167 0.667 0.500
As: 0.667 0.833 0.500
As: 0.333 0.167 0.500

## Properties
Volume ... 28.85 Å³ per atom
Fermi-level density of states ... 1.93 states/eV/cell
ΔE_f ... -662 meV per atom


(6)
Here is SrLi3As after structural relaxation from Alexandria. Energies are from PBE.

a b c (Å): 4.979 4.979 4.979
angles (deg): 90.00 90.00 90.00
Sites, in units of the cell vectors:
Li: 0.000 0.000 0.500
Li: 0.500 0.000 0.000
Li: 0.000 0.500 0.000
Sr: 0.500 0.500 0.500
As: 0.000 0.000 0.000

## Properties
Volume ... 24.69 Å³ per atom
Fermi-level density of states ... 1.89 states/eV/cell
ΔE_f ... -355 meV per atom


(7)
Here is SrLi2As after structural relaxation from Alexandria. Energies are from PBE.

a b c (Å): 5.869 5.869 5.869
angles (deg): 140.26 128.28 67.14
Sites, in units of the cell vectors:
As: 0.250 0.750 0.500
Li: 0.435 0.435 0.000
Li: 0.065 0.065 0.000
Sr: 0.750 0.250 0.500

## Properties
Volume ... 24.97 Å³ per atom
Fermi-level density of states ... 1.56 states/eV/cell
ΔE_f ... -470 meV per atom


(8)
Here is Sr2LiAs2 after structural relaxation from Alexandria. Energies are from PBE.

a b c (Å): 6.184 6.184 5.995
angles (deg): 58.95 58.95 90.00
Sites, in units of the cell vectors:
Li: 0.000 0.000 0.000
As: 0.324 0.324 0.352
As: 0.676 0.676 0.648
Sr: 0.750 0.250 0.500
Sr: 0.250 0.750 0.500

## Properties
Volume ... 31.36 Å³ per atom
Fermi-level density of states ... 2.87 states/eV/cell
ΔE_f ... -562 meV per atom


(9)
Here is SrLi2As after structural relaxation from Alexandria. Energies are from PBE.

a b c (Å): 6.152 6.152 4.418
angles (deg): 69.65 69.65 120.07
Sites, in units of the cell vectors:
Li: 0.500 0.500 0.000
Li: 0.000 0.000 0.000
Sr: 0.500 0.000 0.500
As: 0.000 0.500 0.500

## Properties
Volume ... 25.97 Å³ per atom
Fermi-level density of states ... 1.90 states/eV/cell
ΔE_f ... -300 meV per atom


(10)
Here is Sr4LiAs after structural relaxation from Alexandria. Energies are from PBE.

a b c (Å): 7.202 7.202 7.202
angles (deg): 60.00 60.00 60.00
Sites, in units of the cell vectors:
As: 0.750 0.750 0.750
Sr: 0.872 0.376 0.376
Sr: 0.376 0.376 0.872
Sr: 0.376 0.376 0.376
Sr: 0.376 0.872 0.376
Li: 0.000 0.000 0.000

## Properties
Volume ... 44.03 Å³ per atom
Fermi-level density of states ... 7.43 states/eV/cell
ΔE_f ... 397 meV per atom


(11)
Here is SrLi2As after structural relaxation from Alexandria. Energies are from PBE.

a b c (Å): 4.256 4.217 6.331
angles (deg): 72.19 90.00 90.00
Sites, in units of the cell vectors:
Li: 0.000 0.808 0.025
Li: 0.500 0.287 0.065
As: 0.500 0.908 0.802
Sr: 0.000 0.497 0.608

## Properties
Volume ... 27.05 Å³ per atom
Fermi-level density of states ... 1.17 states/eV/cell
ΔE_f ... -594 meV per atom


(12)
Here is SrLi2As after structural relaxation from Alexandria. Energies are from PBE.

a b c (Å): 3.380 4.053 7.232
angles (deg): 90.00 90.00 90.00
Sites, in units of the cell vectors:
As: 0.500 0.500 0.809
Li: 0.500 0.500 0.167
Li: 0.000 0.000 0.974
Sr: 0.000 0.000 0.550

## Properties
Volume ... 24.77 Å³ per atom
Fermi-level density of states ... 1.42 states/eV/cell
ΔE_f ... -420 meV per atom